(1)
A relaxed Tm3SeO6 crystal. Source: OQMD via LeMat-Bulk, functional PBE.

Raw total energy (eV/atom): -7.256
Space group: No. 14

a = 5.5179 Å, b = 5.9716 Å, c = 9.5945 Å
α = 90.00°, β = 123.60°, γ = 90.00°
Last column: nearest neighbours and their distance in Å.
Element x y z (fractional)
Tm 0.0000 0.0000 0.0000  6 O 2.11-2.32
Tm 0.0000 0.5000 0.5000  6 O 2.11-2.32
Tm 0.2079 0.0712 0.7252  5 O 2.14-2.39
Tm 0.2079 0.4288 0.2252  5 O 2.14-2.39
Tm 0.7921 0.5712 0.7748  5 O 2.14-2.39
Tm 0.7921 0.9288 0.2748  5 O 2.14-2.39
Se 0.5000 0.0000 0.5000  4 O 2.08-2.11
Se 0.5000 0.5000 0.0000  4 O 2.08-2.11
O 0.1353 0.1644 0.4609  1 Se 2.08, 2 Tm 2.24
O 0.1353 0.3356 0.9609  1 Se 2.08, 2 Tm 2.24
O 0.1816 0.6657 0.3842  2 Tm 2.11-2.14
O 0.1816 0.8343 0.8842  2 Tm 2.11-2.14
O 0.4132 0.0775 0.2624  1 Se 2.11, 3 Tm 2.21-2.32
O 0.4132 0.4225 0.7624  1 Se 2.11, 3 Tm 2.21-2.32
O 0.5868 0.5775 0.2376  1 Se 2.11, 3 Tm 2.21-2.32
O 0.5868 0.9225 0.7376  1 Se 2.11, 3 Tm 2.21-2.32
O 0.8184 0.1657 0.1158  2 Tm 2.11-2.14
O 0.8184 0.3343 0.6158  2 Tm 2.11-2.14
O 0.8647 0.6644 0.0391  1 Se 2.08, 2 Tm 2.24
O 0.8647 0.8356 0.5391  1 Se 2.08, 2 Tm 2.24

---

(2)
A relaxed Ta3CoCN crystal. Source: OQMD via LeMat-Bulk, functional PBE.

Raw total energy (eV/atom): -10.510
Space group: No. 164

a = 3.1085 Å, b = 3.1085 Å, c = 17.9045 Å
α = 90.00°, β = 90.00°, γ = 120.00°
Last column: nearest neighbours and their distance in Å.
Element x y z (fractional)
Ta 0.0000 0.0000 0.0000  6 N 2.22
Ta 0.0000 0.0000 0.5000  6 C 2.24
Ta 0.3333 0.6667 0.1428  3 N 2.19
Ta 0.3333 0.6667 0.3571  3 C 2.17
Ta 0.6667 0.3333 0.6429  3 C 2.17
Ta 0.6667 0.3333 0.8572  3 N 2.19
Co 0.0000 0.0000 0.2493  6 Ta 2.62-2.64
Co 0.0000 0.0000 0.7507  6 Ta 2.62-2.64
C 0.3333 0.6667 0.5750  6 Ta 2.17-2.24
C 0.6667 0.3333 0.4250  6 Ta 2.17-2.24
N 0.3333 0.6667 0.9274  6 Ta 2.19-2.22
N 0.6667 0.3333 0.0726  6 Ta 2.19-2.22